No. 1
# Os2BrCl

An optimized crystal structure of Os2BrCl (PBE-GGA, the Alexandria database).

For the calculated volume, the calculation gives 190.8 Å³/cell. The value obtained for the density of states at the Fermi level is 0.95 states/eV per atom. Its electronic total energy is -20.46 eV/f.u. Its raw formation energy is 31.8 kcal/mol of atoms. The energy above the lowest structure with this stoichiometry is 1.123 eV per atom.

The structure belongs to space group R-3m (No. 166, hexagonal axes); the cell edges are 2.9780, 2.9780 and 24.8431 Å and the angles 90.00°, 90.00° and 120.00°. The distinct sites, in fractional coordinates, are Os at (0.0000, 0.0000, 0.2493), Br at (0.0000, 0.0000, 0.0000) and Cl at (0.0000, 0.0000, 0.5000).

---

No. 2
# CsLi2P

An optimized crystal structure of CsLi2P (PBE-GGA, the Alexandria database).

For the calculated volume, the calculation gives 311.0 Å³/cell. For the formation energy, the calculation gives -0.520 eV per atom. Its electronic total energy is -12.17 eV/f.u.

The structure belongs to space group R-3m (No. 166, hexagonal axes); the cell edges are 4.3874, 4.3874 and 18.6545 Å and the angles 90.00°, 90.00° and 120.00°. The distinct sites, in fractional coordinates, are Cs at (0.0000, 0.0000, 0.0000), Li at (0.0000, 0.0000, 0.1789) and P at (0.0000, 0.0000, 0.5000).

---

No. 3
# Sr4ScTl

An optimized crystal structure of Sr4ScTl (PBE-GGA, the Alexandria database).

For the calculated volume, the calculation gives 1047.9 Å³/cell. For the formation energy, the calculation gives 0.481 eV per atom. The value obtained for the density of states at the Fermi level is 1.43 states/eV per atom. Its electronic total energy is -12.54 eV/f.u.

The structure belongs to space group F-43m (No. 216); the cell edges are 10.157, 10.157 and 10.157 Å and the angles 90.00°, 90.00° and 90.00°. The distinct sites, in fractional coordinates, are Sr at (0.124, 0.124, 0.376), Sc at (0.250, 0.250, 0.750) and Tl at (0.000, 0.000, 0.000).

---

No. 4
# ZnAu2Se

An optimized crystal structure of ZnAu2Se (PBE-GGA, the Alexandria database).

For the calculated volume, the calculation gives 219.1 Å³/cell. The value obtained for the density of states at the Fermi level is 0.51 states/eV per atom. Its electronic total energy is -10.94 eV/f.u. Its raw formation energy is 2.2 kcal/mol of atoms.

The structure belongs to space group R-3m (No. 166, hexagonal axes); the cell edges are 2.9977, 2.9977 and 28.1593 Å and the angles 90.00°, 90.00° and 120.00°. The distinct sites, in fractional coordinates, are Zn at (0.0000, 0.0000, 0.0000), Au at (0.0000, 0.0000, 0.2596) and Se at (0.0000, 0.0000, 0.5000).

---

No. 5
# CsSiSe2S

An optimized crystal structure of CsSiSe2S (PBE-GGA, the Alexandria database).

For the calculated volume, the calculation gives 184.1 Å³/cell. The value obtained for the density of states at the Fermi level is 1.06 states/eV per atom. Its electronic total energy is -9.99 eV/f.u. Its raw formation energy is 34.0 kcal/mol of atoms.

The structure belongs to space group P4/mmm (No. 123); the cell edges are 5.836, 5.836 and 5.405 Å and the angles 90.00°, 90.00° and 90.00°. The distinct sites, in fractional coordinates, are Cs at (0.000, 0.000, 0.000), Si at (0.500, 0.500, 0.500), Se at (0.000, 0.500, 0.000) and S at (0.000, 0.000, 0.500).

---

No. 6
# Li3PtCl6

An optimized crystal structure of Li3PtCl6 (PBE-GGA, the Alexandria database).

For the calculated volume, the calculation gives 1297.1 Å³/cell. The value obtained for the density of states at the Fermi level is 0.45 states/eV per atom. Its electronic total energy is -34.55 eV/f.u. Its raw formation energy is -27.0 kcal/mol of atoms.

The structure belongs to space group R-3 (No. 148, hexagonal axes); the cell edges are 10.9935, 10.9935 and 12.3930 Å and the angles 90.00°, 90.00° and 120.00°. The distinct sites, in fractional coordinates, are Li at (0.0605, 0.4846, 0.3691), Pt at (0.0000, 0.0000, 0.0000), Pt at (0.0000, 0.0000, 0.5000), Cl at (0.0117, 0.2042, 0.8972) and Cl at (0.0599, 0.1927, 0.3835).

---

No. 7
# K3ThSb2O9

An optimized crystal structure of K3ThSb2O9 (PBE-GGA, the Alexandria database).

For the calculated volume, the calculation gives 224.9 Å³/cell. The value obtained for the density of states at the Fermi level is 0.64 states/eV per atom. Its electronic total energy is -92.44 eV/f.u. Its raw formation energy is -44.4 kcal/mol of atoms.

The structure belongs to space group P-3m1 (No. 164); the cell edges are 5.9388, 5.9388 and 7.3644 Å and the angles 90.00°, 90.00° and 120.00°. The distinct sites, in fractional coordinates, are K at (0.0000, 0.0000, 0.0000), K at (0.3333, 0.6667, 0.6754), Th at (0.0000, 0.0000, 0.5000), Sb at (0.3333, 0.6667, 0.1570), O at (0.0000, 0.5000, 0.0000) and O at (0.1759, 0.3519, 0.3119).

---

No. 8
# TbPr2P

An optimized crystal structure of TbPr2P (PBE-GGA, the Alexandria database).

For the calculated volume, the calculation gives 387.5 Å³/cell. For the formation energy, the calculation gives -0.600 eV per atom. The value obtained for the density of states at the Fermi level is 1.22 states/eV per atom. Its electronic total energy is -22.00 eV/f.u.

The structure belongs to space group R-3m (No. 166, hexagonal axes); the cell edges are 3.9384, 3.9384 and 28.8477 Å and the angles 90.00°, 90.00° and 120.00°. The distinct sites, in fractional coordinates, are Tb at (0.0000, 0.0000, 0.0000), Pr at (0.0000, 0.0000, 0.2268) and P at (0.0000, 0.0000, 0.5000).

---

Among the records above, which one has the lowest electronic total energy?
K3ThSb2O9